[1]
# PrSi2PdPt2 (GGA-PBE, relaxed)
data_PrSi2PdPt2
_cell_length_a 4.2292
_cell_length_b 4.2292
_cell_length_c 6.9694
_cell_angle_alpha 90.00
_cell_angle_beta 90.00
_cell_angle_gamma 120.00
_symmetry_space_group_name_H-M 'P -3 m 1'
_symmetry_Int_Tables_number 164
_symmetry_space_group_name_Hall '-P 3 2"'
loop_
_atom_site_label
_atom_site_type_symbol
_atom_site_fract_x
_atom_site_fract_y
_atom_site_fract_z
_atom_site_occupancy
Pr1 Pr 0.0000 0.0000 0.0000 1
Si1 Si 0.3333 0.6667 0.3235 1
Pd1 Pd 0.0000 0.0000 0.5000 1
Pt1 Pt 0.3333 0.6667 0.7044 1
# **Total energy**: -6.4381 eV/atom
# **ΔE_f (raw)**: -0.955 eV/atom



[2]
# Pr2SiPdPt6 (GGA-PBE, relaxed)
data_Pr2SiPdPt6
_cell_length_a 11.7392
_cell_length_b 5.4384
_cell_length_c 8.5356
_cell_angle_alpha 90.00
_cell_angle_beta 131.90
_cell_angle_gamma 90.00
_symmetry_space_group_name_H-M 'C 1 2/m 1'
_symmetry_Int_Tables_number 12
loop_
_symmetry_equiv_pos_as_xyz
'x,y,z'
'-x,-y,-z'
'-x,y,-z'
'x,-y,z'
'x+1/2,y+1/2,z'
'-x+1/2,-y+1/2,-z'
'-x+1/2,y+1/2,-z'
'x+1/2,-y+1/2,z'
loop_
_atom_site_label
_atom_site_type_symbol
_atom_site_fract_x
_atom_site_fract_y
_atom_site_fract_z
_atom_site_occupancy
Pr1 Pr 0.2280 0.0000 0.1935 1
Si1 Si 0.0000 0.0000 0.5000 1
Pd1 Pd 0.0000 0.5000 0.0000 1
Pt1 Pt 0.0080 0.2539 0.7370 1
Pt2 Pt 0.2483 0.0000 0.5952 1
# **Total energy**: -6.4433 eV/atom
# **ΔE_f (raw)**: -0.801 eV/atom



[3]
# Pr2Si3PdPt4 (GGA-PBE, relaxed)
data_Pr2Si3PdPt4
_cell_length_a 4.2708
_cell_length_b 4.2708
_cell_length_c 10.2686
_cell_angle_alpha 90.00
_cell_angle_beta 90.00
_cell_angle_gamma 90.00
_symmetry_space_group_name_H-M 'P -4 m 2'
_symmetry_Int_Tables_number 115
loop_
_symmetry_equiv_pos_as_xyz
'x,y,z'
'y,-x,-z'
'-x,-y,z'
'-y,x,-z'
'-x,y,z'
'-y,-x,-z'
'x,-y,z'
'y,x,-z'
loop_
_atom_site_label
_atom_site_type_symbol
_atom_site_fract_x
_atom_site_fract_y
_atom_site_fract_z
_atom_site_occupancy
Pr1 Pr 0.0000 0.5000 0.2425 1
Si1 Si 0.0000 0.0000 0.0000 1
Si2 Si 0.0000 0.5000 0.6234 1
Pd1 Pd 0.5000 0.5000 0.0000 1
Pt1 Pt 0.0000 0.0000 0.5000 1
Pt2 Pt 0.0000 0.5000 0.8519 1
Pt3 Pt 0.5000 0.5000 0.5000 1
# **Total energy**: -6.4995 eV/atom
# **ΔE_f (raw)**: -0.981 eV/atom



[4]
# PrSnPdPt (GGA-PBE, relaxed)
data_PrSnPdPt
_cell_length_a 8.0843
_cell_length_b 4.6638
_cell_length_c 5.3989
_cell_angle_alpha 90.00
_cell_angle_beta 119.84
_cell_angle_gamma 90.00
_symmetry_space_group_name_H-M 'C 1 m 1'
_symmetry_Int_Tables_number 8
loop_
_symmetry_equiv_pos_as_xyz
'x,y,z'
'x,-y,z'
'x+1/2,y+1/2,z'
'x+1/2,-y+1/2,z'
loop_
_atom_site_label
_atom_site_type_symbol
_atom_site_fract_x
_atom_site_fract_y
_atom_site_fract_z
_atom_site_occupancy
Pr1 Pr 0.0000 0.0000 0.0000 1
Sn1 Sn 0.0030 0.5000 0.5085 1
Pd1 Pd 0.2843 0.5000 0.3525 1
Pt1 Pt 0.2171 0.0000 0.6506 1
# **Total energy**: -5.8453 eV/atom



[5]
# Pr2Sn3Pd4Pt (GGA-PBE, relaxed)
data_Pr2Sn3Pd4Pt
_cell_length_a 4.2494
_cell_length_b 4.2494
_cell_length_c 12.0869
_cell_angle_alpha 90.00
_cell_angle_beta 90.00
_cell_angle_gamma 90.00
_symmetry_space_group_name_H-M 'P -4 m 2'
_symmetry_Int_Tables_number 115
loop_
_symmetry_equiv_pos_as_xyz
'x,y,z'
'y,-x,-z'
'-x,-y,z'
'-y,x,-z'
'-x,y,z'
'-y,-x,-z'
'x,-y,z'
'y,x,-z'
loop_
_atom_site_label
_atom_site_type_symbol
_atom_site_fract_x
_atom_site_fract_y
_atom_site_fract_z
_atom_site_occupancy
Pr1 Pr 0.0000 0.5000 0.2290 1
Sn1 Sn 0.0000 0.0000 0.0000 1
Sn2 Sn 0.0000 0.5000 0.6330 1
Pd1 Pd 0.0000 0.0000 0.5000 1
Pd2 Pd 0.0000 0.5000 0.8495 1
Pd3 Pd 0.5000 0.5000 0.5000 1
Pt1 Pt 0.5000 0.5000 0.0000 1
# **Total energy**: -5.5729 eV/atom



[6]
# Pr2Sn4PdPt3 (GGA-PBE, relaxed)
data_Pr2Sn4PdPt3
_cell_length_a 4.6176
_cell_length_b 4.6176
_cell_length_c 10.7087
_cell_angle_alpha 90.00
_cell_angle_beta 90.00
_cell_angle_gamma 90.00
_symmetry_space_group_name_H-M 'P -4 m 2'
_symmetry_Int_Tables_number 115
loop_
_symmetry_equiv_pos_as_xyz
'x,y,z'
'y,-x,-z'
'-x,-y,z'
'-y,x,-z'
'-x,y,z'
'-y,-x,-z'
'x,-y,z'
'y,x,-z'
loop_
_atom_site_label
_atom_site_type_symbol
_atom_site_fract_x
_atom_site_fract_y
_atom_site_fract_z
_atom_site_occupancy
Pr1 Pr 0.0000 0.5000 0.2405 1
Sn1 Sn 0.0000 0.0000 0.5000 1
Sn2 Sn 0.0000 0.5000 0.8729 1
Sn3 Sn 0.5000 0.5000 0.5000 1
Pd1 Pd 0.5000 0.5000 0.0000 1
Pt1 Pt 0.0000 0.0000 0.0000 1
Pt2 Pt 0.0000 0.5000 0.6294 1
# **Total energy**: -5.7415 eV/atom



[7]
# SrPrPdPt (GGA-PBE, relaxed)
data_SrPrPdPt
_cell_length_a 4.4886
_cell_length_b 4.0671
_cell_length_c 11.4186
_cell_angle_alpha 90.00
_cell_angle_beta 90.00
_cell_angle_gamma 90.00
_symmetry_space_group_name_H-M 'A m m 2'
_symmetry_Int_Tables_number 38
loop_
_symmetry_equiv_pos_as_xyz
'x,y,z'
'-x,-y,z'
'-x,y,z'
'x,-y,z'
'x,y+1/2,z+1/2'
'-x,-y+1/2,z+1/2'
'-x,y+1/2,z+1/2'
'x,-y+1/2,z+1/2'
loop_
_atom_site_label
_atom_site_type_symbol
_atom_site_fract_x
_atom_site_fract_y
_atom_site_fract_z
_atom_site_occupancy
Sr1 Sr 0.0000 0.0000 0.0000 1
Pr1 Pr 0.5000 0.0000 0.7248 1
Pd1 Pd 0.5000 0.0000 0.4335 1
Pt1 Pt 0.0000 0.0000 0.2741 1
# **Total energy**: -5.2562 eV/atom
# **ΔE to the lowest computed polymorph**: 0.0 meV per atom



[8]
# SrPrPdPt (GGA-PBE, relaxed)
data_SrPrPdPt
_cell_length_a 7.3192
_cell_length_b 7.3192
_cell_length_c 7.3192
_cell_angle_alpha 90.00
_cell_angle_beta 90.00
_cell_angle_gamma 90.00
_symmetry_space_group_name_H-M 'F -4 3 m'
_symmetry_Int_Tables_number 216
_symmetry_space_group_name_Hall 'F -4 2 3'
loop_
_atom_site_label
_atom_site_type_symbol
_atom_site_fract_x
_atom_site_fract_y
_atom_site_fract_z
_atom_site_occupancy
Sr1 Sr 0.0000 0.0000 0.0000 1
Pr1 Pr 0.0000 0.0000 0.5000 1
Pd1 Pd 0.2500 0.2500 0.2500 1
Pt1 Pt 0.2500 0.2500 0.7500 1
# **Total energy**: -5.1953 eV/atom
# **ΔE to the lowest computed polymorph**: 60.8 meV per atom



Copy entry 1 word for word.
# PrSi2PdPt2 (GGA-PBE, relaxed)
data_PrSi2PdPt2
_cell_length_a 4.2292
_cell_length_b 4.2292
_cell_length_c 6.9694
_cell_angle_alpha 90.00
_cell_angle_beta 90.00
_cell_angle_gamma 120.00
_symmetry_space_group_name_H-M 'P -3 m 1'
_symmetry_Int_Tables_number 164
_symmetry_space_group_name_Hall '-P 3 2"'
loop_
_atom_site_label
_atom_site_type_symbol
_atom_site_fract_x
_atom_site_fract_y
_atom_site_fract_z
_atom_site_occupancy
Pr1 Pr 0.0000 0.0000 0.0000 1
Si1 Si 0.3333 0.6667 0.3235 1
Pd1 Pd 0.0000 0.0000 0.5000 1
Pt1 Pt 0.3333 0.6667 0.7044 1
# **Total energy**: -6.4381 eV/atom
# **ΔE_f (raw)**: -0.955 eV/atom